Record 1
This record from Alexandria via LeMat-Bulk describes a relaxed structure of K5Te. The functional is GGA-PBE.

Cell lengths 9.4810, 9.4810, 5.0638 Å; angles 90.00, 90.00, 120.00 degrees
Space group P-62m (No. 189)
Symmetry-distinct sites (fractional):
K (0.0000, 0.7549, 0.0000) x3
K (0.3333, 0.6667, 0.5000) x2
Te (0.0000, 0.0000, 0.5000) x1

Values from the calculation:
Formation energy (no corrections) = -0.369 eV/atom
Crystal system = hexagonal
Total DFT energy (no corrections) = -1.81 eV per atom



Record 2
This record from Alexandria via LeMat-Bulk describes a relaxed structure of KTe2. The functional is GGA-PBE.

Cell lengths 8.690, 4.089, 12.626 Å; angles 90.00, 90.00, 90.00 degrees
Space group Pnma (No. 62)
Symmetry-distinct sites (fractional):
K (0.172, 0.250, 0.130) x4
Te (0.090, 0.250, 0.434) x4
Te (0.176, 0.250, 0.841) x4

Values from the calculation:
Formation energy (no corrections) = -0.486 eV/atom
Crystal system = orthorhombic
Total DFT energy (no corrections) = -2.95 eV per atom



Record 3
This record from Alexandria via LeMat-Bulk describes a relaxed structure of K4Te3. The functional is GGA-PBE.

Cell lengths 7.1117, 7.1117, 6.2345 Å; angles 90.00, 90.00, 120.00 degrees
Space group P6/mmm (No. 191)
Symmetry-distinct sites (fractional):
K (0.0000, 0.0000, 0.2303) x2
K (0.3333, 0.6667, 0.5000) x2
Te (0.0000, 0.5000, 0.0000) x3

Values from the calculation:
Formation energy (no corrections) = -0.505 eV/atom
Crystal system = hexagonal
Total DFT energy (no corrections) = -2.48 eV per atom



Record 4
This record from Alexandria via LeMat-Bulk describes a relaxed structure of K5Te4. The functional is GGA-PBE.

Cell lengths 11.3001, 11.3001, 6.7412 Å; angles 90.00, 90.00, 120.00 degrees
Space group P6_3/mcm (No. 193)
Symmetry-distinct sites (fractional):
K (0.0000, 0.2551, 0.2500) x6
K (0.3333, 0.6667, 0.0000) x4
Te (0.0000, 0.0000, 0.0000) x2
Te (0.0000, 0.4542, 0.7500) x6

Values from the calculation:
Formation energy (no corrections) = -0.785 eV/atom
Crystal system = hexagonal
Total DFT energy (no corrections) = -2.79 eV per atom



Record 5
This record from Alexandria via LeMat-Bulk describes a relaxed structure of KTe. The functional is GGA-PBE.

Cell lengths 3.289, 13.694, 6.396 Å; angles 90.00, 90.00, 90.00 degrees
Space group Cmcm (No. 63)
Symmetry-distinct sites (fractional):
K (0.000, 0.120, 0.250) x4
Te (0.000, 0.381, 0.250) x4

Values from the calculation:
Formation energy (no corrections) = -0.746 eV/atom
Crystal system = orthorhombic
Total DFT energy (no corrections) = -2.87 eV per atom



Record 6
This record from Alexandria via LeMat-Bulk describes a relaxed structure of KTe2. The functional is GGA-PBE.

Cell lengths 3.271, 3.271, 19.119 Å; angles 90.00, 90.00, 90.00 degrees
Space group I4/mmm (No. 139)
Symmetry-distinct sites (fractional):
K (0.000, 0.000, 0.000) x2
Te (0.000, 0.000, 0.357) x4

Values from the calculation:
Formation energy (no corrections) = -0.344 eV/atom
Crystal system = tetragonal
Total DFT energy (no corrections) = -2.80 eV per atom